1.
DFT (GGA-PBEsol) results for a relaxed SbWCl crystal.

Lattice parameters (Å, degrees): 2.924 4.740 4.975 118.45 107.09 90.00
Atoms (fractional coordinates):
Sb: 0.670 0.670 0.340
W: 0.307 0.307 0.614
Cl: 0.023 0.023 0.046

Properties
Magnetic moment (Bohr magnetons per cell): 0.001
Space group: No. 44
Energy relative to the elements, uncorrected (eV/atom): 0.680


2.
DFT (GGA-PBEsol) results for a relaxed SbW3Cl crystal.

Lattice parameters (Å, degrees): 4.919 4.919 4.919 90.00 90.00 90.00
Atoms (fractional coordinates):
W: 0.500 0.000 0.000
W: 0.000 0.500 0.000
W: 0.000 0.000 0.500
Sb: 0.000 0.000 0.000
Cl: 0.500 0.500 0.500

Properties
Magnetic moment (Bohr magnetons per cell): 0.001
Space group: No. 221
Energy relative to the elements, uncorrected (eV/atom): 3.037


3.
DFT (GGA-PBEsol) results for a relaxed YSbCl2 crystal.

Lattice parameters (Å, degrees): 3.336 5.848 6.617 116.19 104.60 90.00
Atoms (fractional coordinates):
Cl: 0.679 0.679 0.358
Cl: 0.321 0.321 0.642
Y: 0.000 0.500 0.000
Sb: 0.500 0.000 0.000

Properties
Magnetic moment (Bohr magnetons per cell): 0.000
Space group: No. 71
Energy relative to the elements, uncorrected (eV/atom): -1.248


4.
DFT (GGA-PBEsol) results for a relaxed YSbCl crystal.

Lattice parameters (Å, degrees): 4.964 4.964 4.964 60.00 60.00 60.00
Atoms (fractional coordinates):
Y: 0.750 0.750 0.750
Cl: 0.000 0.000 0.000
Sb: 0.500 0.500 0.500

Properties
Magnetic moment (Bohr magnetons per cell): 0.008
Space group: No. 216
Energy relative to the elements, uncorrected (eV/atom): -0.835


5.
DFT (GGA-PBEsol) results for a relaxed ZnSb2Cl crystal.

Lattice parameters (Å, degrees): 4.943 4.943 4.943 60.00 60.00 60.00
Atoms (fractional coordinates):
Sb: 0.750 0.750 0.750
Sb: 0.250 0.250 0.250
Zn: 0.500 0.500 0.500
Cl: 0.000 0.000 0.000

Properties
Magnetic moment (Bohr magnetons per cell): 0.000
Distance to the lowest polymorph of the same formula (meV per atom): 109
Space group: No. 225
Energy relative to the elements, uncorrected (eV/atom): 0.056


6.
DFT (GGA-PBEsol) results for a relaxed ZnSb2Cl crystal.

Lattice parameters (Å, degrees): 3.260 4.908 5.692 90.00 90.00 90.00
Atoms (fractional coordinates):
Sb: 0.500 0.000 0.500
Sb: 0.000 0.000 0.000
Cl: 0.000 0.500 0.500
Zn: 0.500 0.500 0.000

Properties
Magnetic moment (Bohr magnetons per cell): 0.000
Distance to the lowest polymorph of the same formula (meV per atom): 93
Space group: No. 47
Energy relative to the elements, uncorrected (eV/atom): 0.040


7.
DFT (GGA-PBEsol) results for a relaxed ZnSb2Cl crystal.

Lattice parameters (Å, degrees): 3.338 3.338 9.358 79.73 79.73 60.00
Atoms (fractional coordinates):
Sb: 0.753 0.753 0.740
Sb: 0.247 0.247 0.260
Zn: 0.500 0.500 0.500
Cl: 0.000 0.000 0.000

Properties
Magnetic moment (Bohr magnetons per cell): 0.000
Distance to the lowest polymorph of the same formula (meV per atom): 94
Space group: No. 166
Energy relative to the elements, uncorrected (eV/atom): 0.041


8.
DFT (GGA-PBEsol) results for a relaxed ZnSb2Cl crystal.

Lattice parameters (Å, degrees): 3.329 3.438 7.721 90.00 90.00 90.00
Atoms (fractional coordinates):
Zn: 0.500 0.500 0.000
Cl: 0.500 0.500 0.500
Sb: 0.000 0.000 0.787
Sb: 0.000 0.000 0.213

Properties
Magnetic moment (Bohr magnetons per cell): 0.000
Distance to the lowest polymorph of the same formula (meV per atom): 0
Space group: No. 47
Energy relative to the elements, uncorrected (eV/atom): -0.053


9.
DFT (GGA-PBEsol) results for a relaxed Zr2Sb2Cl crystal.

Lattice parameters (Å, degrees): 5.088 5.088 6.434 113.29 113.29 90.00
Atoms (fractional coordinates):
Zr: 0.750 0.250 0.500
Zr: 0.250 0.750 0.500
Cl: 0.000 0.000 0.000
Sb: 0.636 0.636 0.272
Sb: 0.364 0.364 0.728

Properties
Magnetic moment (Bohr magnetons per cell): 0.000
Space group: No. 139
Energy relative to the elements, uncorrected (eV/atom): -0.269


10.
DFT (GGA-PBEsol) results for a relaxed Sc3Cl crystal.

Lattice parameters (Å, degrees): 3.266 5.626 5.626 116.35 101.16 101.16
Atoms (fractional coordinates):
Sc: 0.500 0.000 0.500
Sc: 0.000 0.500 0.500
Sc: 0.500 0.500 0.000
Cl: 0.000 0.000 0.000

Properties
Magnetic moment (Bohr magnetons per cell): 0.752
Space group: No. 166
Energy relative to the elements, uncorrected (eV/atom): -0.159


11.
DFT (GGA-PBEsol) results for a relaxed Sc3Cl crystal.

Lattice parameters (Å, degrees): 3.142 5.362 5.908 116.99 105.42 90.00
Atoms (fractional coordinates):
Sc: 0.500 0.500 0.000
Sc: 0.288 0.788 0.577
Sc: 0.712 0.212 0.423
Cl: 0.000 0.000 0.000

Properties
Magnetic moment (Bohr magnetons per cell): 0.000
Space group: No. 71
Energy relative to the elements, uncorrected (eV/atom): -0.395


12.
DFT (GGA-PBEsol) results for a relaxed ScCl3 crystal.

Lattice parameters (Å, degrees): 4.225 4.225 4.225 90.00 90.00 90.00
Atoms (fractional coordinates):
Sc: 0.000 0.000 0.000
Cl: 0.500 0.000 0.500
Cl: 0.500 0.500 0.000
Cl: 0.000 0.500 0.500

Properties
Magnetic moment (Bohr magnetons per cell): 0.000
Space group: No. 221
Energy relative to the elements, uncorrected (eV/atom): -1.047


13.
DFT (GGA-PBEsol) results for a relaxed ScCl3 crystal.

Lattice parameters (Å, degrees): 3.766 5.161 5.161 114.28 104.08 104.08
Atoms (fractional coordinates):
Cl: 0.000 0.500 0.000
Cl: 0.000 0.000 0.500
Cl: 0.500 0.500 0.500
Sc: 0.500 0.000 0.000

Properties
Magnetic moment (Bohr magnetons per cell): 0.000
Space group: No. 166
Energy relative to the elements, uncorrected (eV/atom): -0.914


14.
DFT (GGA-PBEsol) results for a relaxed Sc3Cl crystal.

Lattice parameters (Å, degrees): 3.286 3.286 8.890 90.00 90.00 120.00
Atoms (fractional coordinates):
Sc: 0.333 0.667 0.780
Sc: 0.000 0.000 0.500
Sc: 0.333 0.667 0.220
Cl: 0.000 0.000 0.000

Properties
Magnetic moment (Bohr magnetons per cell): 0.006
Space group: No. 187
Energy relative to the elements, uncorrected (eV/atom): -0.678


15.
DFT (GGA-PBEsol) results for a relaxed ScCl3 crystal.

Lattice parameters (Å, degrees): 6.346 6.346 7.070 63.33 63.33 60.00
Atoms (fractional coordinates):
Sc: 0.333 0.333 0.000
Sc: 0.667 0.667 0.000
Cl: 0.078 0.717 0.766
Cl: 0.439 0.078 0.766
Cl: 0.922 0.283 0.234
Cl: 0.561 0.922 0.234
Cl: 0.283 0.561 0.234
Cl: 0.717 0.439 0.766

Properties
Magnetic moment (Bohr magnetons per cell): 0.000
Space group: No. 148
Energy relative to the elements, uncorrected (eV/atom): -2.116